# 1
## BaDyEr4S8 (GGA-PBE)

Data for a relaxed BaDyEr4S8 crystal.

Values from the calculation:
SG   R3m, No. 160
ΔE_f (raw)   -2645 kJ/mol of formula units
M_tot   0.00 μB per formula unit

The structure in extended XYZ format:
```
14
Lattice="4.088 2.360 6.705 -4.088 2.360 6.705 0.000 -4.721 6.705" Properties=species:S:1:pos:R:3 pbc="T T T"
Ba 0.000 0.000 0.000
Dy 0.000 0.000 7.491
Er 0.000 -2.394 10.894
Er -2.073 1.197 10.894
Er 0.000 0.000 15.070
Er 2.073 1.197 10.894
S 0.000 -2.022 5.713
S -1.751 1.011 5.713
S 0.000 0.000 2.877
S -1.937 -1.118 9.266
S 1.751 1.011 5.713
S 0.000 0.000 12.413
S 1.937 -1.118 9.266
S 0.000 2.236 9.266
```

=====

# 2
## Ca2TcPdN (GGA-PBE)

Data for a relaxed Ca2TcPdN crystal.

Values from the calculation:
SG   P4/mmm, No. 123
ΔE_f (raw)   -210 kJ/mol of formula units
M_tot   0.00 μB per formula unit

The structure in extended XYZ format:
```
5
Lattice="4.927 0.000 0.000 0.000 4.927 0.000 0.000 0.000 3.867" Properties=species:S:1:pos:R:3 pbc="T T T"
Ca 0.000 2.463 0.000
Ca 2.463 0.000 0.000
Tc 0.000 0.000 1.933
Pd 2.463 2.463 1.933
N 0.000 0.000 0.000
```

=====

# 3
## Y6MgRu (GGA-PBE)

Data for a relaxed Y6MgRu crystal.

Values from the calculation:
SG   P-1, No. 2
Energy relative to the elements   0.103 eV per atom
M_tot   0.00 μB per formula unit

The structure in extended XYZ format:
```
8
Lattice="6.904 0.000 0.000 -3.451 5.986 0.000 -3.444 -1.995 6.319" Properties=species:S:1:pos:R:3 pbc="T T T"
Y -0.832 -0.023 1.615
Y -1.326 3.728 1.615
Y -2.160 1.707 4.704
Y 2.169 2.284 1.614
Y 1.335 0.264 4.704
Y 0.841 4.015 4.704
Mg 3.452 0.000 0.000
Ru 0.005 1.996 3.159
```

=====

# 4
## SmHo4 (GGA-PBE)

Data for a relaxed SmHo4 crystal.

Values from the calculation:
ΔE to the lowest computed polymorph   685 meV/atom
SG   Pm-3m, No. 221
Energy relative to the elements   0.704 eV per atom
M_tot   0.00 μB per formula unit

The structure in extended XYZ format:
```
5
Lattice="5.604 0.000 0.000 0.000 5.604 0.000 0.000 0.000 5.604" Properties=species:S:1:pos:R:3 pbc="T T T"
Sm 0.000 0.000 0.000
Ho 0.000 0.000 2.802
Ho 0.000 2.802 0.000
Ho 2.802 0.000 0.000
Ho 2.802 2.802 2.802
```